DFT (PBE) results for a geometry-optimized Ag6Te2SCl structure.

Computed properties:
Volume in Å³/f.u.: 231
Calculated density in g/cm3: 6.97
Calculated total energy in eV for the cell shown: -29.96
Magnetization in μB per atom: 0.0000
Symmetry: P1 (1)

POSCAR file:
```
Ag6Te2SCl
1.0
6.851 0.000 0.000
3.354 5.975 0.000
3.354 1.968 5.646
Ag Te S Cl
6 2 1 1
Direct
0.000 0.000 0.000
0.073 0.500 0.086
0.299 0.786 0.573
0.499 0.201 0.299
0.585 0.274 0.800
0.799 0.700 0.501
0.456 0.657 0.956
0.914 0.115 0.415
0.647 0.848 0.147
0.164 0.364 0.664
```

DFT (PBE) results for a geometry-optimized NaTlSn2H structure.

Computed properties:
Volume in Å³/f.u.: 113
Calculated density in g/cm3: 6.84
Calculated total energy in eV for the cell shown: -14.63
Magnetization in μB per atom: 0.0000
Symmetry: P4/mmm (123)

POSCAR file:
```
NaTlSn2H
1.0
4.795 0.000 0.000
0.000 4.795 0.000
0.000 0.000 4.918
Na Tl Sn H
1 1 2 1
Direct
0.000 0.000 0.000
0.500 0.500 0.000
0.000 0.500 0.500
0.500 0.000 0.500
0.000 0.000 0.500
```

DFT (PBE) results for a geometry-optimized Cs2ScSbF6 structure.

Computed properties:
Volume in Å³/f.u.: 228
Calculated density in g/cm3: 3.98
Calculated total energy in eV for the cell shown: -51.57
Magnetization in μB per atom: 0.2000
Symmetry: I4/mmm (139)

POSCAR file:
```
Cs2ScSbF6
1.0
-3.630 3.630 4.324
3.630 -3.630 4.324
3.630 3.630 -4.324
Cs Sc Sb F
2 1 1 6
Direct
0.250 0.750 0.500
0.750 0.250 0.500
0.000 0.000 0.000
0.500 0.500 0.000
0.196 0.196 0.392
0.196 0.804 0.000
0.242 0.242 0.000
0.758 0.758 0.000
0.804 0.196 0.000
0.804 0.804 0.608
```

DFT (PBE) results for a geometry-optimized Re2As structure.

Computed properties:
Volume in Å³/f.u.: 52
Calculated density in g/cm3: 14.41
Energy relative to the elements in eV per atom: 0.89
Magnetization in μB per atom: 0.0000
Symmetry: Fd-3m (227)

POSCAR file:
```
Re2As
1.0
0.000 3.722 3.722
3.722 0.000 3.722
3.722 3.722 0.000
Re As
4 2
Direct
0.000 0.000 0.000
0.000 0.000 0.500
0.000 0.500 0.000
0.500 0.000 0.000
0.375 0.375 0.375
0.625 0.625 0.625
```

DFT (PBE) results for a geometry-optimized AlPd4Au structure.

Computed properties:
Volume in Å³/f.u.: 93
Calculated density in g/cm3: 11.56
Energy relative to the elements in eV per atom: -0.42
Magnetization in μB per atom: 0.0000
Symmetry: P-1 (2)

POSCAR file:
```
AlPd4Au
1.0
4.717 0.000 0.000
1.187 6.289 0.000
1.235 0.342 6.292
Al Pd Au
2 8 2
Direct
0.137 0.132 0.132
0.863 0.868 0.868
0.131 0.468 0.797
0.132 0.797 0.466
0.348 0.046 0.729
0.352 0.730 0.045
0.648 0.270 0.955
0.652 0.954 0.271
0.868 0.203 0.534
0.869 0.532 0.203
0.368 0.371 0.371
0.632 0.629 0.629
```

DFT (PBE) results for a geometry-optimized CsTa3C structure.

Computed properties:
Volume in Å³/f.u.: 125
Calculated density in g/cm3: 9.11
Energy relative to the elements in eV per atom: 4.48
Magnetization in μB per atom: 0.0000
Symmetry: Pm-3m (221)

POSCAR file:
```
CsTa3C
1.0
5.005 0.000 0.000
0.000 5.005 0.000
0.000 0.000 5.005
Cs Ta C
1 3 1
Direct
0.000 0.000 0.000
0.000 0.000 0.500
0.000 0.500 0.000
0.500 0.000 0.000
0.500 0.500 0.500
```

- Number 3 is which compound?
  Cs2ScSbF6